(1)
## LiOsAu3 (PBE)

Data for a relaxed structure of LiOsAu3.

Calculated values
Energy relative to the elements, eV/atom: 0.8223

Cell and atoms, written as CIF:
```
data_LiOsAu3
_symmetry_space_group_name_H-M 'P m -3 m'
_symmetry_Int_Tables_number 221
_symmetry_space_group_name_Hall '-P 4 2 3'
_cell_length_a 5.0753
_cell_length_b 5.0753
_cell_length_c 5.0753
_cell_angle_alpha 90.00
_cell_angle_beta 90.00
_cell_angle_gamma 90.00
loop_
_atom_site_label
_atom_site_fract_x
_atom_site_fract_y
_atom_site_fract_z
Li1 0.0000 0.0000 0.0000
Os1 0.5000 0.5000 0.5000
Au1 0.0000 0.5000 0.5000
```


(2)
## SrCaCo2Mo (PBE)

Data for a relaxed structure of SrCaCo2Mo.

Calculated values
Energy relative to the elements, eV/atom: 0.8537

Cell and atoms, written as CIF:
```
data_SrCaCo2Mo
_symmetry_space_group_name_H-M 'P 4/m m m'
_symmetry_Int_Tables_number 123
_symmetry_space_group_name_Hall '-P 4 2'
_cell_length_a 4.6720
_cell_length_b 4.6720
_cell_length_c 5.1948
_cell_angle_alpha 90.00
_cell_angle_beta 90.00
_cell_angle_gamma 90.00
loop_
_atom_site_label
_atom_site_fract_x
_atom_site_fract_y
_atom_site_fract_z
Sr1 0.0000 0.0000 0.0000
Ca1 0.5000 0.5000 0.0000
Co1 0.0000 0.5000 0.5000
Mo1 0.5000 0.5000 0.5000
```


(3)
## Pt2Pb (PBE)

Data for a relaxed structure of Pt2Pb.

Calculated values
Energy relative to the elements, eV/atom: -0.1090

Cell and atoms, written as CIF:
```
data_Pt2Pb
_symmetry_space_group_name_H-M 'C m c m'
_symmetry_Int_Tables_number 63
_symmetry_space_group_name_Hall '-C 2c 2'
_cell_length_a 3.8008
_cell_length_b 17.7080
_cell_length_c 3.9610
_cell_angle_alpha 90.00
_cell_angle_beta 90.00
_cell_angle_gamma 90.00
loop_
_atom_site_label
_atom_site_fract_x
_atom_site_fract_y
_atom_site_fract_z
Pt1 0.0000 0.0553 0.2500
Pt2 0.0000 0.4362 0.2500
Pb1 0.0000 0.3232 0.7500
```


(4)
## SrMoI2N (PBE)

Data for a relaxed structure of SrMoI2N.

Calculated values
Total energy, eV per atom: -5.076

Cell and atoms, written as CIF:
```
data_SrMoI2N
_symmetry_space_group_name_H-M 'P 4/m m m'
_symmetry_Int_Tables_number 123
_symmetry_space_group_name_Hall '-P 4 2'
_cell_length_a 5.7659
_cell_length_b 5.7659
_cell_length_c 3.9211
_cell_angle_alpha 90.00
_cell_angle_beta 90.00
_cell_angle_gamma 90.00
loop_
_atom_site_label
_atom_site_fract_x
_atom_site_fract_y
_atom_site_fract_z
Sr1 0.0000 0.0000 0.0000
Mo1 0.5000 0.5000 0.5000
I1 0.0000 0.5000 0.5000
N1 0.5000 0.5000 0.0000
```


(5)
## Re2SbN (PBE)

Data for a relaxed structure of Re2SbN.

Calculated values
Total energy, eV per atom: -8.694

Cell and atoms, written as CIF:
```
data_Re2SbN
_symmetry_space_group_name_H-M 'I -4 2 d'
_symmetry_Int_Tables_number 122
_symmetry_space_group_name_Hall 'I -4 2bw'
_cell_length_a 4.8045
_cell_length_b 4.8045
_cell_length_c 12.3046
_cell_angle_alpha 90.00
_cell_angle_beta 90.00
_cell_angle_gamma 90.00
loop_
_atom_site_label
_atom_site_fract_x
_atom_site_fract_y
_atom_site_fract_z
Re1 0.1118 0.2500 0.1250
Sb1 0.0000 0.0000 0.5000
N1 0.0000 0.0000 0.0000
```


(6)
## Lu2Fe3Si5 (PBE)

Data for a relaxed structure of Lu2Fe3Si5.

Calculated values
Total energy, eV per atom: -6.848

Cell and atoms, written as CIF:
```
data_Lu2Fe3Si5
_symmetry_space_group_name_H-M 'P 4/m n c'
_symmetry_Int_Tables_number 128
_symmetry_space_group_name_Hall '-P 4 2n'
_cell_length_a 10.2796
_cell_length_b 10.2796
_cell_length_c 5.3894
_cell_angle_alpha 90.00
_cell_angle_beta 90.00
_cell_angle_gamma 90.00
loop_
_atom_site_label
_atom_site_fract_x
_atom_site_fract_y
_atom_site_fract_z
Lu1 0.0689 0.2367 0.0000
Fe1 0.0000 0.5000 0.2500
Fe2 0.1235 0.8562 0.5000
Si1 0.0000 0.0000 0.2596
Si2 0.0237 0.3192 0.5000
Si3 0.1782 0.6782 0.2500
```


(7)
## ErTh2TaC4 (PBE)

Data for a relaxed structure of ErTh2TaC4.

Calculated values
Energy relative to the elements, eV/atom: -0.2703

Cell and atoms, written as CIF:
```
data_ErTh2TaC4
_symmetry_space_group_name_H-M 'I m m a'
_symmetry_Int_Tables_number 74
_symmetry_space_group_name_Hall '-I 2b 2'
_cell_length_a 7.0315
_cell_length_b 7.1691
_cell_length_c 10.0826
_cell_angle_alpha 90.00
_cell_angle_beta 90.00
_cell_angle_gamma 90.00
loop_
_atom_site_label
_atom_site_fract_x
_atom_site_fract_y
_atom_site_fract_z
Er1 0.0000 0.0000 0.0000
Th1 0.0000 0.0000 0.5000
Th2 0.2500 0.2500 0.2500
Ta1 0.2500 0.2500 0.7500
C1 0.0000 0.0288 0.7532
C2 0.2480 0.2500 0.9797
```


(8)
## MnGaSe3 (PBE)

Data for a relaxed structure of MnGaSe3.

Calculated values
Total energy, eV per atom: -4.450

Cell and atoms, written as CIF:
```
data_MnGaSe3
_symmetry_space_group_name_H-M 'P m -3 m'
_symmetry_Int_Tables_number 221
_symmetry_space_group_name_Hall '-P 4 2 3'
_cell_length_a 4.7068
_cell_length_b 4.7068
_cell_length_c 4.7068
_cell_angle_alpha 90.00
_cell_angle_beta 90.00
_cell_angle_gamma 90.00
loop_
_atom_site_label
_atom_site_fract_x
_atom_site_fract_y
_atom_site_fract_z
Mn1 0.0000 0.0000 0.0000
Ga1 0.5000 0.5000 0.5000
Se1 0.0000 0.0000 0.5000
```